# Pr8Sb5Se

Pr8Sb5Se after structural relaxation (GGA-PBE, Alexandria).

Unit cell a=8.238 b=8.238 c=8.238 alpha=109.84 beta=109.84 gamma=108.73
Fractional positions:
Pr1 0.121 0.373 0.109
Pr2 0.141 0.379 0.620
Pr3 0.265 0.013 0.891
Pr4 0.479 0.859 0.239
Pr5 0.621 0.241 0.761
Pr6 0.627 0.735 0.748
Pr7 0.759 0.521 0.380
Pr8 0.987 0.879 0.252
Sb1 0.250 0.750 0.500
Sb2 0.379 0.247 0.373
Sb3 0.753 0.126 0.132
Sb4 0.874 0.005 0.627
Sb5 0.995 0.621 0.868
Se1 0.500 0.500 0.000

SG ... I-4

---

# Pr3SbSe6

Pr3SbSe6 after structural relaxation (GGA-PBE, Alexandria).

Unit cell a=9.218 b=9.218 c=7.277 alpha=90.00 beta=90.00 gamma=102.83
Fractional positions:
Pr1 0.096 0.904 0.500
Pr2 0.217 0.416 0.603
Pr3 0.416 0.217 0.103
Pr4 0.584 0.783 0.603
Pr5 0.783 0.584 0.103
Pr6 0.904 0.096 0.000
Sb1 0.323 0.677 0.119
Sb2 0.677 0.323 0.619
Se1 0.072 0.596 0.311
Se2 0.133 0.196 0.300
Se3 0.196 0.133 0.800
Se4 0.267 0.733 0.751
Se5 0.404 0.928 0.311
Se6 0.491 0.509 0.360
Se7 0.509 0.491 0.860
Se8 0.596 0.072 0.811
Se9 0.733 0.267 0.251
Se10 0.804 0.867 0.300
Se11 0.867 0.804 0.800
Se12 0.928 0.404 0.811

SG ... Cmc2_1

---

# PrSbSe3

PrSbSe3 after structural relaxation (GGA-PBE, Alexandria).

Unit cell a=8.138 b=4.299 c=15.187 alpha=90.00 beta=90.00 gamma=90.00
Fractional positions:
Pr1 0.079 0.250 0.150
Pr2 0.421 0.750 0.650
Pr3 0.579 0.250 0.350
Pr4 0.921 0.750 0.850
Sb1 0.117 0.750 0.431
Sb2 0.383 0.250 0.931
Sb3 0.617 0.750 0.069
Sb4 0.883 0.250 0.569
Se1 0.037 0.750 0.656
Se2 0.166 0.750 0.010
Se3 0.180 0.250 0.798
Se4 0.320 0.750 0.298
Se5 0.334 0.250 0.510
Se6 0.463 0.250 0.156
Se7 0.537 0.750 0.844
Se8 0.666 0.750 0.490
Se9 0.680 0.250 0.702
Se10 0.820 0.750 0.202
Se11 0.834 0.250 0.990
Se12 0.963 0.250 0.344

Offset from the most stable computed form ... 0.0 kJ per mole of atoms
SG ... Pnma

---

# Pr2SbSe

Pr2SbSe after structural relaxation (GGA-PBE, Alexandria).

Unit cell a=4.430 b=4.430 c=7.623 alpha=106.83 beta=106.83 gamma=59.95
Fractional positions:
Pr1 0.246 0.246 0.240
Pr2 0.754 0.754 0.760
Sb1 0.000 0.000 0.500
Se1 0.500 0.500 0.000

Offset from the most stable computed form ... 0.0 kJ per mole of atoms
SG ... C2/m

---

# Pr4SiSbSe2

Pr4SiSbSe2 after structural relaxation (GGA-PBE, Alexandria).

Unit cell a=7.541 b=4.366 c=7.601 alpha=90.00 beta=109.43 gamma=90.00
Fractional positions:
Pr1 0.243 0.000 0.238
Pr2 0.250 0.500 0.762
Pr3 0.750 0.500 0.238
Pr4 0.757 0.000 0.762
Si1 0.000 0.500 0.000
Sb1 0.000 0.000 0.500
Se1 0.500 0.000 0.000
Se2 0.500 0.500 0.500

SG ... P2/m

---

# Pr6Sn2SbSe3

Pr6Sn2SbSe3 after structural relaxation (GGA-PBE, Alexandria).

Unit cell a=9.891 b=9.891 c=8.851 alpha=102.61 beta=102.61 gamma=25.93
Fractional positions:
Pr1 0.000 0.000 0.245
Pr2 0.000 0.000 0.755
Pr3 0.331 0.331 0.419
Pr4 0.335 0.335 0.912
Pr5 0.665 0.665 0.088
Pr6 0.669 0.669 0.581
Sn1 0.167 0.167 0.833
Sn2 0.833 0.833 0.167
Sb1 0.500 0.500 0.500
Se1 0.166 0.166 0.334
Se2 0.500 0.500 0.000
Se3 0.834 0.834 0.666

SG ... C2/m

---

# Pr4SnSbSe2

Pr4SnSbSe2 after structural relaxation (GGA-PBE, Alexandria).

Unit cell a=8.856 b=8.856 c=8.856 alpha=120.05 beta=119.96 gamma=90.00
Fractional positions:
Pr1 0.251 0.246 0.494
Pr2 0.251 0.247 0.004
Pr3 0.251 0.757 0.006
Pr4 0.258 0.753 0.504
Pr5 0.742 0.247 0.496
Pr6 0.749 0.243 0.994
Pr7 0.749 0.753 0.996
Pr8 0.749 0.754 0.506
Sn1 0.000 0.000 0.500
Sn2 0.000 0.500 0.000
Sb1 0.000 0.500 0.500
Sb2 0.500 0.500 0.000
Se1 0.000 0.000 0.000
Se2 0.500 0.000 0.000
Se3 0.500 0.000 0.500
Se4 0.500 0.500 0.500

SG ... Imma

---

# Pr4SbTeSe2

Pr4SbTeSe2 after structural relaxation (GGA-PBE, Alexandria).

Unit cell a=7.631 b=4.388 c=7.666 alpha=90.00 beta=109.16 gamma=90.00
Fractional positions:
Pr1 0.235 0.000 0.226
Pr2 0.250 0.500 0.768
Pr3 0.750 0.500 0.232
Pr4 0.765 0.000 0.774
Sb1 0.000 0.000 0.500
Te1 0.500 0.500 0.500
Se1 0.000 0.500 0.000
Se2 0.500 0.000 0.000

SG ... P2/m

---

# Pr6SbTe3Se2

Pr6SbTe3Se2 after structural relaxation (GGA-PBE, Alexandria).

Unit cell a=7.652 b=7.652 c=7.825 alpha=99.39 beta=99.39 gamma=120.03
Fractional positions:
Pr1 0.080 0.423 0.773
Pr2 0.229 0.229 0.224
Pr3 0.423 0.080 0.773
Pr4 0.577 0.920 0.227
Pr5 0.771 0.771 0.776
Pr6 0.920 0.577 0.227
Sb1 0.500 0.500 0.000
Te1 0.000 0.000 0.500
Te2 0.338 0.662 0.500
Te3 0.662 0.338 0.500
Se1 0.168 0.832 0.000
Se2 0.832 0.168 0.000

SG ... C2/m

---

# Pr6Sb2TeSe3

Pr6Sb2TeSe3 after structural relaxation (GGA-PBE, Alexandria).

Unit cell a=9.872 b=9.872 c=8.833 alpha=102.99 beta=102.99 gamma=25.79
Fractional positions:
Pr1 0.003 0.003 0.233
Pr2 0.327 0.327 0.421
Pr3 0.336 0.336 0.910
Pr4 0.664 0.664 0.090
Pr5 0.673 0.673 0.579
Pr6 0.997 0.997 0.767
Sb1 0.166 0.166 0.832
Sb2 0.834 0.834 0.168
Te1 0.500 0.500 0.500
Se1 0.165 0.165 0.334
Se2 0.500 0.500 0.000
Se3 0.835 0.835 0.666

SG ... C2/m

---

# Pr6Sb2Te3Se

Pr6Sb2Te3Se after structural relaxation (GGA-PBE, Alexandria).

Unit cell a=10.113 b=10.113 c=9.038 alpha=103.71 beta=103.71 gamma=25.63
Fractional positions:
Pr1 0.000 0.000 0.228
Pr2 0.000 0.000 0.772
Pr3 0.332 0.332 0.422
Pr4 0.343 0.343 0.917
Pr5 0.657 0.657 0.083
Pr6 0.668 0.668 0.578
Sb1 0.166 0.166 0.332
Sb2 0.834 0.834 0.668
Te1 0.170 0.170 0.835
Te2 0.500 0.500 0.500
Te3 0.830 0.830 0.165
Se1 0.500 0.500 0.000

SG ... C2/m

---

| no. | final energy (eV/cell) |
| --- | --- |
| 1 | -78.1 |
| 2 | -107.7 |
| 3 | -97.9 |
| 4 | -23.3 |
| 5 | -47.0 |
| 6 | -67.7 |
| 7 | -91.1 |
| 8 | -46.1 |
| 9 | -67.8 |
| 10 | -69.4 |
| 11 | -67.3 |